# Cs2CaSnS4

A relaxed structure of Cs2CaSnS4 (PBE, Alexandria via LeMat-Bulk).

Its volume is 626 Å³ per cell. The density of states at the Fermi level is 0.0 states/eV per cell. Its raw formation energy is -1132 meV per atom. The total energy is -66.56 eV for the cell shown.

Unit cell a=6.551 b=8.073 c=13.362 alpha=84.29 beta=75.81 gamma=66.06
Fractional coordinates of all 16 atoms:
Cs: 0.819 0.000 0.362
Cs: 0.931 0.500 0.138
Cs: 0.569 0.500 0.862
Cs: 0.181 0.000 0.638
S: 0.869 0.803 0.899
S: 0.179 0.303 0.399
S: 0.232 0.197 0.899
S: 0.881 0.697 0.601
S: 0.422 0.697 0.399
S: 0.328 0.803 0.101
S: 0.518 0.303 0.601
S: 0.571 0.197 0.101
Sn: 0.500 0.000 0.000
Sn: 0.250 0.500 0.500
Ca: 0.000 0.000 0.000
Ca: 0.750 0.500 0.500

# CeZn3

A relaxed structure of CeZn3 (PBE, Alexandria via LeMat-Bulk).

Its volume is 92 Å³ per cell. The density of states at the Fermi level is 9.2 states/eV per cell. The total energy is -8.72 eV for the cell shown.

Unit cell a=4.026 b=4.026 c=6.333 alpha=108.53 beta=108.53 gamma=90.00
Fractional coordinates of all 4 atoms:
Zn: 0.282 0.282 0.564
Zn: 0.500 0.500 0.000
Zn: 0.718 0.718 0.436
Ce: 0.000 0.000 0.000

# SrCaGe4

A relaxed structure of SrCaGe4 (PBE, Alexandria via LeMat-Bulk).

Its volume is 137 Å³ per cell. The total energy is -24.60 eV for the cell shown.

Unit cell a=5.792 b=5.792 c=5.792 alpha=60.00 beta=60.00 gamma=60.00
Fractional coordinates of all 6 atoms:
Ca: 0.250 0.250 0.250
Ge: 0.623 0.623 0.623
Ge: 0.623 0.130 0.623
Ge: 0.623 0.623 0.130
Ge: 0.130 0.623 0.623
Sr: 0.000 0.000 0.000

# Ir5RuRh2

A relaxed structure of Ir5RuRh2 (PBE, Alexandria via LeMat-Bulk).

Its volume is 241 Å³ per cell. The density of states at the Fermi level is 24.6 states/eV per cell. The total energy is -131.17 eV for the cell shown.

Unit cell a=6.624 b=6.624 c=7.218 alpha=117.31 beta=117.31 gamma=90.00
Fractional coordinates of all 16 atoms:
Ir: 0.683 0.183 0.661
Ir: 0.522 0.317 0.339
Ir: 0.000 0.000 0.000
Ir: 0.022 0.522 0.339
Ir: 0.478 0.683 0.661
Ir: 0.317 0.817 0.339
Ir: 0.183 0.978 0.661
Ir: 0.978 0.478 0.661
Ir: 0.817 0.022 0.339
Ir: 0.500 0.500 0.000
Rh: 0.861 0.639 0.000
Rh: 0.361 0.861 0.000
Rh: 0.639 0.139 0.000
Rh: 0.139 0.361 0.000
Ru: 0.250 0.250 0.500
Ru: 0.750 0.750 0.500

# MgZrCr2

A relaxed structure of MgZrCr2 (PBE, Alexandria via LeMat-Bulk).

Its volume is 71 Å³ per cell. The density of states at the Fermi level is 3.4 states/eV per cell. The total energy is -27.85 eV for the cell shown.

Unit cell a=4.405 b=4.482 c=3.576 alpha=90.00 beta=90.00 gamma=90.00
Fractional coordinates of all 4 atoms:
Cr: 0.000 0.000 0.000
Cr: 0.500 0.500 0.000
Zr: 0.000 0.500 0.500
Mg: 0.500 0.000 0.500

# Sn2SbPt2

A relaxed structure of Sn2SbPt2 (PBE, Alexandria via LeMat-Bulk).

Its volume is 115 Å³ per cell. The density of states at the Fermi level is 2.3 states/eV per cell. Its raw formation energy is -134 meV per atom. The total energy is -24.88 eV for the cell shown.

Unit cell a=3.878 b=3.878 c=8.142 alpha=76.22 beta=76.22 gamma=90.00
Fractional coordinates of all 5 atoms:
Sb: 0.000 0.000 0.000
Sn: 0.380 0.380 0.240
Sn: 0.620 0.620 0.760
Pt: 0.250 0.750 0.500
Pt: 0.750 0.250 0.500

Please write out number 3 again, unchanged.
# SrCaGe4

A relaxed structure of SrCaGe4 (PBE, Alexandria via LeMat-Bulk).

Its volume is 137 Å³ per cell. The total energy is -24.60 eV for the cell shown.

Unit cell a=5.792 b=5.792 c=5.792 alpha=60.00 beta=60.00 gamma=60.00
Fractional coordinates of all 6 atoms:
Ca: 0.250 0.250 0.250
Ge: 0.623 0.623 0.623
Ge: 0.623 0.130 0.623
Ge: 0.623 0.623 0.130
Ge: 0.130 0.623 0.623
Sr: 0.000 0.000 0.000

Q: Which of these has the highest volume?
A: Cs2CaSnS4